Here is a relaxed Li2ZnSi2Rh5 crystal from Alexandria via LeMat-Bulk. Energies are from PBE.

Fermi-level density of states   3.83 states/eV/f.u.
Density   7424 kg/m³
Symmetry   P4/mbm (127)
Magnetization   0.00 μB per formula unit
Uncorrected energy   -116.58 eV/cell

Lattice parameters (Å, degrees): 3.070 9.732 9.732 90.00 90.00 90.00
Atoms (fractional coordinates):
Li: 0.000 0.670 0.170
Li: 0.000 0.330 0.830
Li: 0.000 0.170 0.330
Li: 0.000 0.830 0.670
Zn: 0.000 0.000 0.000
Zn: 0.000 0.500 0.500
Si: 0.000 0.134 0.634
Si: 0.000 0.866 0.366
Si: 0.000 0.634 0.866
Si: 0.000 0.366 0.134
Rh: 0.500 0.201 0.070
Rh: 0.500 0.799 0.930
Rh: 0.500 0.070 0.799
Rh: 0.500 0.701 0.430
Rh: 0.500 0.930 0.201
Rh: 0.500 0.299 0.570
Rh: 0.500 0.570 0.701
Rh: 0.500 0.430 0.299
Rh: 0.500 0.500 0.000
Rh: 0.500 0.000 0.500